w | 5
Lattice="-1.9838 1.0581 -2.5494 0.0631 -3.1213 -1.3446 -4.4803 -2.0929 0.3515" Properties=species:S:1:pos:R:3 comment="PBE MgCo2H2, optimized geometry" sg=I4/mmm crystal_system=tetragonal mass_density_g_cm3=4.779 pbc="T T T"
H -2.2691 -1.4262 -1.0924
H -4.1319 -2.7299 -2.4501
Mg 0.0000 0.0000 0.0000
Co -3.7122 -1.0332 -2.0725
Co -2.6888 -3.1229 -1.4700

---

x | 10
Lattice="5.7151 0.0000 0.0000 0.0000 5.7151 0.0000 0.0000 0.0000 2.6874" Properties=species:S:1:pos:R:3 comment="PBE MgCo2H2, optimized geometry" sg=P4/mbm crystal_system=tetragonal mass_density_g_cm3=5.455 pbc="T T T"
H 2.2156 5.0731 0.0000
H 5.0731 3.4995 0.0000
H 3.4995 0.6420 0.0000
H 0.6420 2.2156 0.0000
Mg 0.0000 0.0000 0.0000
Mg 2.8575 2.8575 0.0000
Co 0.7716 3.6292 1.3437
Co 3.6292 4.9435 1.3437
Co 4.9435 2.0859 1.3437
Co 2.0859 0.7716 1.3437

---

Most stable to least stable, the ends of the list are w and x.

---

w | 5
Lattice="4.3296 0.0000 0.0000 0.0000 4.3296 0.0000 0.0000 0.0000 3.1908" Properties=species:S:1:pos:R:3 comment="PBE Mg2CoNiH, optimized geometry" sg=P4/mmm crystal_system=tetragonal mass_density_g_cm3=4.643 pbc="T T T"
Ni 0.0000 0.0000 1.5954
Mg 0.0000 2.1648 0.0000
Mg 2.1648 0.0000 0.0000
Co 2.1648 2.1648 1.5954
H 0.0000 0.0000 0.0000

---

x | 5
Lattice="-1.7581 -2.0566 3.3114 3.0472 -2.9905 -0.2394 1.8237 1.6965 2.0218" Properties=species:S:1:pos:R:3 comment="PBE Mg2CoNiH, optimized geometry" sg=P4/mmm crystal_system=tetragonal mass_density_g_cm3=4.734 pbc="T T T"
Ni 1.5564 -1.6753 2.5470
Mg 1.5236 -1.4952 -0.1197
Mg -0.8791 -1.0283 1.6557
Co 0.9118 0.8482 1.0109
H 0.0000 0.0000 0.0000

---

Most stable to least stable, the ends of the list are x and w.

---

w | 5
Lattice="4.0005 0.0000 0.0000 0.0000 4.0005 0.0000 0.0000 0.0000 3.8044" Properties=species:S:1:pos:R:3 comment="PBE MgCoHPt2, optimized geometry" sg=P4/mmm crystal_system=tetragonal mass_density_g_cm3=12.939 pbc="T T T"
H 0.0000 0.0000 0.0000
Mg 2.0002 2.0002 1.9022
Co 0.0000 0.0000 1.9022
Pt 0.0000 2.0002 0.0000
Pt 2.0002 0.0000 0.0000

---

x | 5
Lattice="4.6295 0.0000 0.0000 0.0000 4.5521 0.0000 0.0000 0.0000 4.6295" Properties=species:S:1:pos:R:3 comment="PBE MgCoHPt2, optimized geometry" sg=P4/mmm crystal_system=tetragonal mass_density_g_cm3=8.075 pbc="T T T"
H 2.3148 2.2760 2.3148
Mg 0.0000 0.0000 0.0000
Co 0.0000 2.2760 0.0000
Pt 0.0000 0.0000 2.3148
Pt 2.3148 0.0000 0.0000

---

Most stable to least stable, the ends of the list are w and x.